# 1
# YInSb4 (PBE, relaxed)
# * ΔE_f (raw): -0.016 eV per atom
# * V: 699.0 Å³ per cell
# * total magnetization: 0.0 μB/f.u.
# * DOS(E_F): 0.87 states/eV per atom
data_YInSb4
_space_group_name_H-M_alt 'F -4 3 m'
_space_group_IT_number 216
_space_group_name_Hall 'F -4 2 3'
_cell_length_a 8.8750
_cell_length_b 8.8750
_cell_length_c 8.8750
_cell_angle_alpha 90.00
_cell_angle_beta 90.00
_cell_angle_gamma 90.00
loop_
_atom_site_label
_atom_site_type_symbol
_atom_site_fract_x
_atom_site_fract_y
_atom_site_fract_z
_atom_site_occupancy
Y1 Y 0.0000 0.0000 0.0000 1
In1 In 0.2500 0.2500 0.7500 1
Sb1 Sb 0.1249 0.1249 0.3751 1

# 2
# CsRe2O7 (PBE, relaxed)
# * ΔE_f (raw): -1.428 eV per atom
# * V: 254.5 Å³ per cell
# * total magnetization: 0.0 μB/f.u.
# * DOS(E_F): 0.22 states/eV per atom
data_CsRe2O7
_space_group_name_H-M_alt 'C m m m'
_space_group_IT_number 65
_space_group_name_Hall '-C 2 2'
_cell_length_a 6.1838
_cell_length_b 10.6060
_cell_length_c 3.8803
_cell_angle_alpha 90.00
_cell_angle_beta 90.00
_cell_angle_gamma 90.00
loop_
_atom_site_label
_atom_site_type_symbol
_atom_site_fract_x
_atom_site_fract_y
_atom_site_fract_z
_atom_site_occupancy
Cs1 Cs 0.0000 0.0000 0.0000 1
Re1 Re 0.0000 0.3091 0.5000 1
O1 O 0.0000 0.3089 0.0000 1
O2 O 0.0000 0.5000 0.5000 1
O3 O 0.1866 0.1537 0.5000 1

# 3
# La3Ho2ErSe6 (PBE, relaxed)
# * ΔE_f (raw): -1.868 eV per atom
# * V: 619.5 Å³ per cell
# * total magnetization: 0.0 μB/f.u.
# * DOS(E_F): 0.52 states/eV per atom
data_La3Ho2ErSe6
_space_group_name_H-M_alt 'C 1 2/m 1'
_space_group_IT_number 12
_space_group_name_Hall '-C 2y'
_cell_length_a 7.1408
_cell_length_b 12.4107
_cell_length_c 7.3874
_cell_angle_alpha 90.00
_cell_angle_beta 108.88
_cell_angle_gamma 90.00
loop_
_atom_site_label
_atom_site_type_symbol
_atom_site_fract_x
_atom_site_fract_y
_atom_site_fract_z
_atom_site_occupancy
La1 La 0.0000 0.0000 0.0000 1
La2 La 0.0000 0.3328 0.0000 1
Ho1 Ho 0.0000 0.1667 0.5000 1
Er1 Er 0.0000 0.5000 0.5000 1
Se1 Se 0.2420 0.3339 0.7280 1
Se2 Se 0.2438 0.0000 0.7285 1

# 4
# Rb5BeF8 (PBE, relaxed)
# * ΔE_f (raw): -2.593 eV per atom
# * V: 642.3 Å³ per cell
# * total magnetization: 1.2 μB/f.u.
# * DOS(E_F): 1.38 states/eV per atom
data_Rb5BeF8
_space_group_name_H-M_alt 'I -4'
_space_group_IT_number 82
_space_group_name_Hall 'I -4'
_cell_length_a 8.1846
_cell_length_b 8.1846
_cell_length_c 9.5886
_cell_angle_alpha 90.00
_cell_angle_beta 90.00
_cell_angle_gamma 90.00
loop_
_atom_site_label
_atom_site_type_symbol
_atom_site_fract_x
_atom_site_fract_y
_atom_site_fract_z
_atom_site_occupancy
Rb1 Rb 0.0000 0.0000 0.0000 1
Rb2 Rb 0.1268 0.2842 0.4034 1
Be1 Be 0.0000 0.5000 0.7500 1
F1 F 0.0206 0.6586 0.6587 1
F2 F 0.1100 0.2855 0.1141 1

# 5
# Cd5Ga2Ag12 (PBE, relaxed)
# * V: 722.4 Å³ per cell
# * formation enthalpy at 0 K: -11 meV per atom
# * total magnetization: 0.0 μB/f.u.
# * DOS(E_F): 0.22 states/eV per atom
data_Cd5Ga2Ag12
_space_group_name_H-M_alt 'C 1 2/m 1'
_space_group_IT_number 12
_space_group_name_Hall '-C 2y'
_cell_length_a 13.4837
_cell_length_b 7.9101
_cell_length_c 6.7739
_cell_angle_alpha 90.00
_cell_angle_beta 90.72
_cell_angle_gamma 90.00
loop_
_atom_site_label
_atom_site_type_symbol
_atom_site_fract_x
_atom_site_fract_y
_atom_site_fract_z
_atom_site_occupancy
Cd1 Cd 0.0000 0.0000 0.0000 1
Cd2 Cd 0.1966 0.5000 0.4877 1
Cd3 Cd 0.2381 0.0000 0.0778 1
Ga1 Ga 0.0000 0.2946 0.5000 1
Ag1 Ag 0.0538 0.5000 0.8116 1
Ag2 Ag 0.0913 0.0000 0.3902 1
Ag3 Ag 0.1205 0.3010 0.1531 1
Ag4 Ag 0.1575 0.1870 0.7386 1

# 6
# Na3MnH6 (PBE, relaxed)
# * total energy: -34.391 eV/f.u.
# * V: 693.6 Å³ per cell
# * total magnetization: 2.0 μB/f.u.
# * DOS(E_F): 0.53 states/eV per atom
data_Na3MnH6
_space_group_name_H-M_alt 'R -3 c'
_space_group_IT_number 167
_space_group_name_Hall '-R 3 2"c'
_cell_length_a 8.6057
_cell_length_b 8.6057
_cell_length_c 10.8137
_cell_angle_alpha 90.00
_cell_angle_beta 90.00
_cell_angle_gamma 120.00
loop_
_atom_site_label
_atom_site_type_symbol
_atom_site_fract_x
_atom_site_fract_y
_atom_site_fract_z
_atom_site_occupancy
Na1 Na 0.0000 0.3359 0.2500 1
Mn1 Mn 0.0000 0.0000 0.0000 1
H1 H 0.0216 0.1694 0.4134 1